i | Material: GdHfZr
Method: DFT, PBE
State: relaxed

V, Å³ per atom: 25.65

a = 7.8248 Å, b = 7.8248 Å, c = 7.8248 Å
α = 156.36°, β = 156.36°, γ = 33.68°
Last column: nearest neighbours and their distance in Å.
Positions (direct):
1 Gd 0.0000 0.0000 0.0000  4 Gd 3.21, 4 Hf 3.45, 4 Zr 3.57
2 Hf 0.3261 0.3261 0.0000  4 Zr 3.11, 4 Hf 3.21, 4 Gd 3.45
3 Zr 0.6842 0.6842 0.0000  4 Hf 3.11, 4 Zr 3.21



ii | Material: GdHfZr
Method: DFT, PBE
State: relaxed

V, Å³ per atom: 25.26

a = 3.2715 Å, b = 3.2715 Å, c = 8.1746 Å
α = 90.00°, β = 90.00°, γ = 120.00°
Last column: nearest neighbours and their distance in Å.
Positions (direct):
1 Gd 0.0000 0.0000 0.0000  6 Gd 3.27, 3 Hf 3.39, 3 Zr 3.45
2 Hf 0.6667 0.3333 0.3451  3 Zr 3.10, 6 Hf 3.27, 3 Gd 3.39
3 Zr 0.3333 0.6667 0.6465  3 Hf 3.10, 6 Zr 3.27, 3 Gd 3.45



Stability summary - winner: i; margin: 0.026 eV/atom.



i | Material: GdHo2Hg
Method: DFT, PBE
State: relaxed

V, Å³ per atom: 28.69

a = 3.5887 Å, b = 3.5887 Å, c = 8.9121 Å
α = 90.00°, β = 90.00°, γ = 90.00°
Last column: nearest neighbours and their distance in Å.
Positions (direct):
1 Gd 0.0000 0.0000 0.0000  8 Ho 3.55, 4 Gd 3.59
2 Ho 0.5000 0.5000 0.2791  4 Hg 3.21, 4 Gd 3.55, 4 Ho 3.59
3 Ho 0.5000 0.5000 0.7209  4 Hg 3.21, 4 Gd 3.55, 4 Ho 3.59
4 Hg 0.0000 0.0000 0.5000  8 Ho 3.21, 4 Hg 3.59



ii | Material: GdHo2Hg
Method: DFT, PBE
State: relaxed

V, Å³ per atom: 27.64

a = 4.8221 Å, b = 4.8221 Å, c = 4.7542 Å
α = 90.00°, β = 90.00°, γ = 90.00°
Last column: nearest neighbours and their distance in Å.
Positions (direct):
1 Gd 0.0000 0.0000 0.0000  8 Ho 3.39, 4 Hg 3.41
2 Ho 0.0000 0.5000 0.5000  4 Hg 3.39, 4 Gd 3.39, 4 Ho 3.41
3 Ho 0.5000 0.0000 0.5000  4 Hg 3.39, 4 Gd 3.39, 4 Ho 3.41
4 Hg 0.5000 0.5000 0.0000  8 Ho 3.39, 4 Gd 3.41



Stability summary - winner: i; margin: 0.053 eV/atom.



i | Material: Gd2HgI
Method: DFT, PBE
State: relaxed

V, Å³ per atom: 28.35

a = 3.7049 Å, b = 3.7049 Å, c = 8.2604 Å
α = 90.00°, β = 90.00°, γ = 90.00°
Last column: nearest neighbours and their distance in Å.
Positions (direct):
1 Gd 0.0000 0.0000 0.2286  4 Hg 3.23, 4 I 3.45
2 Gd 0.0000 0.0000 0.7714  4 Hg 3.23, 4 I 3.45
3 Hg 0.5000 0.5000 0.0000  8 Gd 3.23
4 I 0.5000 0.5000 0.5000  8 Gd 3.45, 4 I 3.70



ii | Material: Gd2HgI
Method: DFT, PBE
State: relaxed

V, Å³ per atom: 31.24

a = 8.0128 Å, b = 8.0128 Å, c = 8.0128 Å
α = 31.53°, β = 31.53°, γ = 31.53°
Last column: nearest neighbours and their distance in Å.
Positions (direct):
1 Gd 0.2407 0.2407 0.2407  3 Hg 3.03, 3 I 3.29
2 Gd 0.7593 0.7593 0.7593  3 Hg 3.03, 3 I 3.29
3 Hg 0.5000 0.5000 0.5000  6 Gd 3.03
4 I 0.0000 0.0000 0.0000  6 Gd 3.29



Stability summary - winner: ii; margin: 0.015 eV/atom.